Entry 1:
A plane-wave DFT calculation with PBE was carried out for Pm6ZnNi2 after structural relaxation.

Cell lengths 8.545, 8.545, 8.545 Å; angles 106.31, 109.10, 113.07 degrees
Positions (direct):
Ni1 0.651 0.000 0.651
Pm1 0.691 0.017 0.326
Ni2 0.500 0.379 0.879
Pm2 0.192 0.765 0.957
Ni3 0.500 0.621 0.121
Pm3 0.108 0.287 0.821
Pm4 0.534 0.713 0.821
Pm5 0.808 0.765 0.573
Zn1 0.000 0.500 0.500
Pm6 0.309 0.635 0.326
Zn2 0.000 0.000 0.000
Pm7 0.808 0.235 0.043
Pm8 0.892 0.713 0.179
Pm9 0.691 0.365 0.674
Ni4 0.349 0.000 0.349
Pm10 0.192 0.235 0.427
Pm11 0.466 0.287 0.179
Pm12 0.309 0.983 0.674

Entry 2:
A plane-wave DFT calculation with PBE was carried out for PmZn2Ni10 after structural relaxation.

Cell lengths 4.776, 6.369, 6.340 Å; angles 81.88, 67.87, 67.98 degrees
Positions (direct):
Ni1 0.643 0.352 0.361
Pm1 0.000 0.000 0.000
Ni2 0.503 0.224 0.770
Ni3 0.500 0.000 0.500
Ni4 0.357 0.648 0.639
Ni5 0.995 0.648 0.361
Ni6 0.273 0.224 0.230
Zn1 0.000 0.500 0.000
Ni7 0.000 0.000 0.500
Ni8 0.497 0.776 0.230
Ni9 0.005 0.352 0.639
Ni10 0.727 0.776 0.770
Zn2 0.500 0.500 0.000

Entry 3:
A plane-wave DFT calculation with PBE was carried out for PmZn2Ni after structural relaxation.

Cell lengths 4.665, 4.665, 4.665 Å; angles 60.00, 60.00, 60.00 degrees
Positions (direct):
Zn1 0.250 0.250 0.250
Pm1 0.000 0.000 0.000
Zn2 0.750 0.750 0.750
Ni1 0.500 0.500 0.500

| no. | calculated formation energy (eV/atom) | magnetization (μB/cell) | calculated total energy (Ry/atom) |
| --- | --- | --- | --- |
| 1 | -0.2212 | 0.00 | -0.3539 |
| 2 | -0.1340 | 2.41 | -0.3780 |
| 3 | -0.1504 | 0.00 | -0.2514 |